[1]
First-principles (PBE-GGA) data for a relaxed KScPb2 crystal, as listed in Alexandria via LeMat-Bulk.

## Properties
ΔE to the lowest computed polymorph (meV per atom): 367
DFT formation energy (meV per atom): 82
Final energy (eV/atom): -3.63
Space-group type: No. 119

Unit cell a=6.4448 b=6.4448 c=6.4448 alpha=137.77 beta=137.77 gamma=61.26
Atoms (fractional coordinates):
1 K 0.7500 0.2500 0.5000
2 Pb 0.0000 0.0000 0.0000
3 Pb 0.2500 0.7500 0.5000
4 Sc 0.5000 0.5000 0.0000

=====

[2]
First-principles (PBE-GGA) data for a relaxed LiCa2Y crystal, as listed in Alexandria via LeMat-Bulk.

## Properties
ΔE to the lowest computed polymorph (meV per atom): 22
DFT formation energy (meV per atom): 117
Final energy (eV/atom): -2.98
Space-group type: No. 166

Unit cell a=11.8452 b=11.8452 c=11.8452 alpha=18.01 beta=18.01 gamma=18.01
Atoms (fractional coordinates):
1 Y 0.7500 0.7500 0.7500
2 Ca 0.5035 0.5035 0.5035
3 Ca 0.9965 0.9965 0.9965
4 Li 0.2500 0.2500 0.2500

=====

[3]
First-principles (PBE-GGA) data for a relaxed Na3Mg5Cl12 crystal, as listed in Alexandria via LeMat-Bulk.

## Properties
Formation energy (no corrections) (kJ/mol of formula units): -3239.1
Final energy (eV/atom): -3.38
Space-group type: No. 230

Unit cell a=13.8993 b=13.8993 c=13.8993 alpha=109.47 beta=109.47 gamma=109.47
Atoms (fractional coordinates):
1 Na 0.6250 0.3750 0.7500
2 Na 0.7500 0.3750 0.1250
3 Na 0.8750 0.7500 0.1250
4 Na 0.2500 0.6250 0.8750
5 Na 0.1250 0.2500 0.8750
6 Na 0.6250 0.2500 0.3750
7 Na 0.1250 0.8750 0.7500
8 Na 0.8750 0.1250 0.2500
9 Na 0.7500 0.8750 0.6250
10 Na 0.2500 0.1250 0.3750
11 Na 0.3750 0.7500 0.6250
12 Na 0.3750 0.6250 0.2500
13 Cl 0.8810 0.2976 0.4757
14 Cl 0.5834 0.8810 0.4053
15 Cl 0.4166 0.2976 0.3218
16 Cl 0.3810 0.4053 0.0834
17 Cl 0.6190 0.0243 0.2024
18 Cl 0.6190 0.5947 0.9166
19 Cl 0.0834 0.9053 0.3810
20 Cl 0.3218 0.5243 0.4053
21 Cl 0.5947 0.9757 0.6782
22 Cl 0.8218 0.9166 0.2976
23 Cl 0.0834 0.1782 0.2024
24 Cl 0.8810 0.5834 0.9053
25 Cl 0.0243 0.6190 0.7024
26 Cl 0.9166 0.8218 0.7976
27 Cl 0.2976 0.4166 0.8218
28 Cl 0.1190 0.4166 0.0947
29 Cl 0.2976 0.8810 0.9757
30 Cl 0.4053 0.0243 0.3218
31 Cl 0.0947 0.1782 0.4757
32 Cl 0.7976 0.3218 0.9166
33 Cl 0.5243 0.2024 0.1190
34 Cl 0.7976 0.4757 0.3810
35 Cl 0.2024 0.6782 0.0834
36 Cl 0.6782 0.2024 0.5834
37 Cl 0.1190 0.7024 0.5243
38 Cl 0.5834 0.7024 0.6782
39 Cl 0.6782 0.4757 0.5947
40 Cl 0.4166 0.1190 0.5947
41 Cl 0.7024 0.5834 0.1782
42 Cl 0.9757 0.5947 0.1782
43 Cl 0.4053 0.3810 0.5834
44 Cl 0.7024 0.1190 0.0243
45 Cl 0.9166 0.0947 0.6190
46 Cl 0.1782 0.0947 0.9757
47 Cl 0.2024 0.5243 0.6190
48 Cl 0.5243 0.3218 0.9053
49 Cl 0.9053 0.0834 0.8810
50 Cl 0.0947 0.9166 0.1190
51 Cl 0.9757 0.3810 0.2976
52 Cl 0.8218 0.9053 0.0243
53 Cl 0.3218 0.7976 0.4166
54 Cl 0.4757 0.7976 0.8810
55 Cl 0.9053 0.8218 0.5243
56 Cl 0.5947 0.6190 0.4166
57 Cl 0.4757 0.6782 0.0947
58 Cl 0.3810 0.9757 0.7976
59 Cl 0.1782 0.0834 0.7024
60 Cl 0.0243 0.4053 0.8218
61 Mg 0.1250 0.3750 0.2500
62 Mg 0.8750 0.2500 0.6250
63 Mg 0.0000 0.5000 0.0000
64 Mg 0.2500 0.8750 0.1250
65 Mg 0.8750 0.6250 0.7500
66 Mg 0.7500 0.1250 0.8750
67 Mg 0.0000 0.0000 0.5000
68 Mg 0.6250 0.7500 0.8750
69 Mg 0.0000 0.5000 0.5000
70 Mg 0.3750 0.2500 0.1250
71 Mg 0.7500 0.6250 0.3750
72 Mg 0.3750 0.1250 0.7500
73 Mg 0.2500 0.3750 0.6250
74 Mg 0.5000 0.0000 0.0000
75 Mg 0.6250 0.8750 0.2500
76 Mg 0.5000 0.0000 0.5000
77 Mg 0.0000 0.0000 0.0000
78 Mg 0.5000 0.5000 0.0000
79 Mg 0.5000 0.5000 0.5000
80 Mg 0.1250 0.7500 0.3750

=====

[4]
First-principles (PBE-GGA) data for a relaxed LiRe4 crystal, as listed in Alexandria via LeMat-Bulk.

## Properties
ΔE to the lowest computed polymorph (meV per atom): 974
DFT formation energy (meV per atom): 1220
Final energy (eV/atom): -9.12
Space-group type: No. 221

Unit cell a=4.1144 b=4.1144 c=4.1144 alpha=90.00 beta=90.00 gamma=90.00
Atoms (fractional coordinates):
1 Re 0.0000 0.0000 0.0000
2 Re 0.5000 0.5000 0.0000
3 Re 0.5000 0.0000 0.5000
4 Re 0.0000 0.5000 0.5000
5 Li 0.5000 0.5000 0.5000

=====

[5]
First-principles (PBE-GGA) data for a relaxed BaAc2Ho crystal, as listed in Alexandria via LeMat-Bulk.

## Properties
ΔE to the lowest computed polymorph (meV per atom): 101
DFT formation energy (meV per atom): 182
Final energy (eV/atom): -3.50
Space-group type: No. 166

Unit cell a=3.8805 b=3.8805 c=13.8965 alpha=81.97 beta=81.97 gamma=60.00
Atoms (fractional coordinates):
1 Ac 0.9053 0.9053 0.2840
2 Ac 0.0947 0.0947 0.7160
3 Ho 0.5000 0.5000 0.5000
4 Ba 0.0000 0.0000 0.0000

=====

[6]
First-principles (PBE-GGA) data for a relaxed CsHf2Au crystal, as listed in Alexandria via LeMat-Bulk.

## Properties
DFT formation energy (meV per atom): 847
Final energy (eV/atom): -5.16
Space-group type: No. 225

Unit cell a=5.0291 b=5.0291 c=5.0291 alpha=60.00 beta=60.00 gamma=60.00
Atoms (fractional coordinates):
1 Hf 0.2500 0.2500 0.2500
2 Hf 0.7500 0.7500 0.7500
3 Au 0.5000 0.5000 0.5000
4 Cs 0.0000 0.0000 0.0000

=====

[7]
First-principles (PBE-GGA) data for a relaxed In2WAu2 crystal, as listed in Alexandria via LeMat-Bulk.

## Properties
ΔE to the lowest computed polymorph (meV per atom): 61
DFT formation energy (meV per atom): 617
Final energy (eV/atom): -4.38
Space-group type: No. 139

Unit cell a=3.7334 b=3.7334 c=8.0386 alpha=76.57 beta=76.57 gamma=90.00
Atoms (fractional coordinates):
1 W 0.0000 0.0000 0.0000
2 Au 0.2500 0.7500 0.5000
3 Au 0.7500 0.2500 0.5000
4 In 0.4039 0.4039 0.1921
5 In 0.5961 0.5961 0.8079

=====

[8]
First-principles (PBE-GGA) data for a relaxed Rb4NaTl4 crystal, as listed in Alexandria via LeMat-Bulk.

## Properties
DFT formation energy (meV per atom): 9
Final energy (eV/atom): -1.62
Space-group type: No. 121

Unit cell a=5.9792 b=13.5911 c=5.9792 alpha=77.29 beta=90.00 gamma=102.71
Atoms (fractional coordinates):
1 Tl 0.4496 0.4389 0.0106
2 Tl 0.0106 0.5611 0.9894
3 Tl 0.9894 0.4389 0.5504
4 Tl 0.5504 0.5611 0.4496
5 Rb 0.6106 0.7508 0.8598
6 Rb 0.1402 0.7508 0.3894
7 Rb 0.3894 0.2492 0.6106
8 Rb 0.8598 0.2492 0.1402
9 Na 0.0000 0.0000 0.0000

=====

[9]
First-principles (PBE-GGA) data for a relaxed Ce6PuIn2Co crystal, as listed in Alexandria via LeMat-Bulk.

## Properties
DFT formation energy (meV per atom): -338
Final energy (eV/atom): -6.59
Space-group type: No. 69

Unit cell a=7.2324 b=7.2324 c=7.2398 alpha=60.07 beta=60.07 gamma=90.05
Atoms (fractional coordinates):
1 Ce 0.2591 0.7410 0.0000
2 Ce 0.2588 0.2589 0.0001
3 Ce 0.7409 0.2590 0.0000
4 Ce 0.2598 0.2598 0.4806
5 Ce 0.7402 0.7402 0.5194
6 Ce 0.7411 0.7411 0.9999
7 In 0.2498 0.7502 0.5001
8 In 0.7502 0.2498 0.4999
9 Co 0.0000 0.0000 0.0000
10 Pu 0.5000 0.5000 0.0000

=====

[10]
First-principles (PBE-GGA) data for a relaxed KSe2S2 crystal, as listed in Alexandria via LeMat-Bulk.

## Properties
ΔE to the lowest computed polymorph (meV per atom): 122
Formation energy (no corrections) (kJ/mol of formula units): -72.5
Final energy (eV/atom): -3.41
Space-group type: No. 63

Unit cell a=3.8696 b=3.9919 c=18.5608 alpha=90.00 beta=95.98 gamma=90.00
Atoms (fractional coordinates):
1 K 0.6814 0.7500 0.3629
2 K 0.3186 0.2500 0.6371
3 S 0.8679 0.7500 0.7357
4 S 0.7496 0.2500 0.4992
5 S 0.2504 0.7500 0.5008
6 S 0.1321 0.2500 0.2643
7 Se 0.5989 0.2500 0.1979
8 Se 0.0177 0.7500 0.0355
9 Se 0.4011 0.7500 0.8021
10 Se 0.9823 0.2500 0.9645

=====

[11]
First-principles (PBE-GGA) data for a relaxed CdAgOF crystal, as listed in Alexandria via LeMat-Bulk.

## Properties
Formation energy (no corrections) (kJ/mol of formula units): -356.3
Final energy (eV/atom): -3.57
Space-group type: No. 166

Unit cell a=3.9261 b=3.9261 c=10.0591 alpha=78.75 beta=78.75 gamma=60.00
Atoms (fractional coordinates):
1 F 0.2049 0.2049 0.3853
2 F 0.7951 0.7951 0.6147
3 Ag 0.8859 0.8859 0.3422
4 Ag 0.1141 0.1141 0.6578
5 Cd 0.2925 0.2925 0.1225
6 Cd 0.7075 0.7075 0.8775
7 O 0.6259 0.6259 0.1222
8 O 0.3741 0.3741 0.8778

=====

[12]
First-principles (PBE-GGA) data for a relaxed Li2AcCdHg4 crystal, as listed in Alexandria via LeMat-Bulk.

## Properties
DFT formation energy (meV per atom): -334
Final energy (eV/atom): -1.59
Space-group type: No. 166

Unit cell a=4.7889 b=4.7889 c=10.2072 alpha=76.43 beta=76.43 gamma=60.00
Atoms (fractional coordinates):
1 Li 0.2259 0.2259 0.3223
2 Li 0.7741 0.7741 0.6777
3 Hg 0.3962 0.3962 0.8114
4 Hg 0.8792 0.8792 0.3624
5 Hg 0.6038 0.6038 0.1886
6 Hg 0.1208 0.1208 0.6376
7 Cd 0.5000 0.5000 0.5000
8 Ac 0.0000 0.0000 0.0000

=====

[13]
First-principles (PBE-GGA) data for a relaxed AcTmP2Rh5 crystal, as listed in Alexandria via LeMat-Bulk.

## Properties
DFT formation energy (meV per atom): -823
Final energy (eV/atom): -7.06
Space-group type: No. 123

Unit cell a=4.1316 b=4.1316 c=10.4466 alpha=90.00 beta=90.00 gamma=90.00
Atoms (fractional coordinates):
1 P 0.5000 0.5000 0.7199
2 P 0.5000 0.5000 0.2801
3 Rh 0.0000 0.5000 0.1902
4 Rh 0.5000 0.5000 0.5000
5 Rh 0.5000 0.0000 0.1902
6 Rh 0.5000 0.0000 0.8098
7 Rh 0.0000 0.5000 0.8098
8 Ac 0.0000 0.0000 0.5000
9 Tm 0.0000 0.0000 0.0000

=====

[14]
First-principles (PBE-GGA) data for a relaxed HfP2SO crystal, as listed in Alexandria via LeMat-Bulk.

## Properties
ΔE to the lowest computed polymorph (meV per atom): 856
Formation energy (no corrections) (kJ/mol of formula units): 322.1
Final energy (eV/atom): -5.30
Space-group type: No. 123

Unit cell a=5.0360 b=5.0360 c=4.8361 alpha=90.00 beta=90.00 gamma=90.00
Atoms (fractional coordinates):
1 P 0.0000 0.5000 0.0000
2 P 0.5000 0.0000 0.0000
3 Hf 0.0000 0.0000 0.0000
4 S 0.0000 0.0000 0.5000
5 O 0.5000 0.5000 0.5000

=====

[15]
First-principles (PBE-GGA) data for a relaxed CdAsS3 crystal, as listed in Alexandria via LeMat-Bulk.

## Properties
Formation energy (no corrections) (kJ/mol of formula units): 166.6
Final energy (eV/atom): -3.24
Space-group type: No. 221

Unit cell a=4.7555 b=4.7555 c=4.7555 alpha=90.00 beta=90.00 gamma=90.00
Atoms (fractional coordinates):
1 S 0.0000 0.0000 0.5000
2 S 0.0000 0.5000 0.0000
3 S 0.5000 0.0000 0.0000
4 As 0.0000 0.0000 0.0000
5 Cd 0.5000 0.5000 0.5000

=====

[16]
First-principles (PBE-GGA) data for a relaxed LaSeBr crystal, as listed in Alexandria via LeMat-Bulk.

## Properties
Formation energy (no corrections) (kJ/mol of formula units): -575.1
Final energy (eV/atom): -5.35
Space-group type: No. 131

Unit cell a=5.9447 b=9.0548 c=9.0548 alpha=90.00 beta=90.00 gamma=90.00
Atoms (fractional coordinates):
1 Se 0.0000 0.2818 0.5000
2 Se 0.5000 0.5000 0.2818
3 Se 0.5000 0.5000 0.7182
4 Se 0.0000 0.7182 0.5000
5 Br 0.5000 0.0000 0.7185
6 Br 0.5000 0.0000 0.2815
7 Br 0.0000 0.7185 0.0000
8 Br 0.0000 0.2815 0.0000
9 La 0.0000 0.5000 0.2449
10 La 0.5000 0.2449 0.5000
11 La 0.0000 0.5000 0.7551
12 La 0.5000 0.7551 0.5000

=====

[17]
First-principles (PBE-GGA) data for a relaxed LiYTe2 crystal, as listed in Alexandria via LeMat-Bulk.

## Properties
Formation energy (no corrections) (kJ/mol of formula units): -453.1
Final energy (eV/atom): -4.84
Space-group type: No. 63

Unit cell a=12.7699 b=12.7699 c=4.6723 alpha=90.00 beta=90.00 gamma=161.25
Atoms (fractional coordinates):
1 Y 0.3296 0.6704 0.2500
2 Y 0.6704 0.3296 0.7500
3 Te 0.0789 0.9211 0.7500
4 Te 0.7964 0.2036 0.7500
5 Te 0.2036 0.7964 0.2500
6 Te 0.9211 0.0789 0.2500
7 Li 0.9682 0.0318 0.7500
8 Li 0.0318 0.9682 0.2500

=====

[18]
First-principles (PBE-GGA) data for a relaxed Ac2Ge3SbPt4 crystal, as listed in Alexandria via LeMat-Bulk.

## Properties
Formation energy (no corrections) (kJ/mol of formula units): -880.8
Final energy (eV/atom): -5.95
Space-group type: No. 115

Unit cell a=4.5834 b=4.5834 c=10.2801 alpha=90.00 beta=90.00 gamma=90.00
Atoms (fractional coordinates):
1 Pt 0.0000 0.0000 0.0000
2 Pt 0.5000 0.0000 0.6341
3 Pt 0.5000 0.5000 0.0000
4 Pt 0.0000 0.5000 0.3659
5 Ge 0.0000 0.0000 0.5000
6 Ge 0.0000 0.5000 0.1204
7 Ge 0.5000 0.0000 0.8796
8 Sb 0.5000 0.5000 0.5000
9 Ac 0.0000 0.5000 0.7598
10 Ac 0.5000 0.0000 0.2402

=====

[19]
First-principles (PBE-GGA) data for a relaxed Rb2AlCrS4 crystal, as listed in Alexandria via LeMat-Bulk.

## Properties
Formation energy (no corrections) (kJ/mol of formula units): -637.3
Final energy (eV/atom): -4.80
Space-group type: No. 74

Unit cell a=7.9212 b=7.9212 c=8.0092 alpha=120.37 beta=120.37 gamma=90.01
Atoms (fractional coordinates):
1 Rb 0.0000 0.0000 0.5000
2 Rb 0.5000 0.5000 0.0000
3 Rb 0.5000 0.0000 0.0000
4 Rb 0.5000 0.0000 0.5000
5 S 0.7752 0.3245 0.5499
6 S 0.2258 0.2743 0.4523
7 S 0.1755 0.7248 0.9501
8 S 0.7743 0.7258 0.9523
9 S 0.8245 0.2752 0.0499
10 S 0.7742 0.7257 0.5477
11 S 0.2257 0.2742 0.0477
12 S 0.2248 0.6755 0.4501
13 Cr 0.0000 0.5000 0.5000
14 Cr 0.0000 0.5000 0.0000
15 Al 0.5000 0.5000 0.5000
16 Al 0.0000 0.0000 0.0000

=====

[20]
First-principles (PBE-GGA) data for a relaxed Th7Sb2Rh2 crystal, as listed in Alexandria via LeMat-Bulk.

## Properties
Formation energy (no corrections) (kJ/mol of formula units): -383.1
Final energy (eV/atom): -7.17
Space-group type: No. 65

Unit cell a=7.0572 b=6.9122 c=7.0572 alpha=90.02 beta=102.01 gamma=89.98
Atoms (fractional coordinates):
1 Th 0.5002 0.2470 0.4998
2 Th 0.4999 0.2617 0.9997
3 Th 0.4998 0.7530 0.5002
4 Th 0.9997 0.7383 0.4999
5 Th 0.0003 0.2617 0.5001
6 Th 0.0000 0.0000 0.0000
7 Th 0.5001 0.7383 0.0003
8 Sb 0.1814 0.5000 0.1814
9 Sb 0.8186 0.5000 0.8186
10 Rh 0.2553 0.9998 0.7447
11 Rh 0.7447 0.0002 0.2553

=====

[21]
First-principles (PBE-GGA) data for a relaxed Ba3PrTl4 crystal, as listed in Alexandria via LeMat-Bulk.

## Properties
DFT formation energy (meV per atom): -387
Final energy (eV/atom): -2.89
Space-group type: No. 123

Unit cell a=4.1707 b=4.1707 c=17.0667 alpha=90.00 beta=90.00 gamma=90.00
Atoms (fractional coordinates):
1 Pr 0.5000 0.5000 0.0000
2 Ba 0.5000 0.5000 0.2406
3 Ba 0.5000 0.5000 0.5000
4 Ba 0.5000 0.5000 0.7594
5 Tl 0.0000 0.0000 0.1033
6 Tl 0.0000 0.0000 0.6268
7 Tl 0.0000 0.0000 0.3732
8 Tl 0.0000 0.0000 0.8967